Entry from Alexandria: an optimized crystal structure of Er2InAu2 (PBEsol).

Cell and atoms, written as extended XYZ:
```
10
Lattice="7.776 0.000 0.000 0.000 7.776 0.000 0.000 0.000 3.636" Properties=species:S:1:pos:R:3 pbc="T T T"
Er 1.308 2.580 0.000
Er 2.580 6.468 0.000
Er 5.196 1.308 0.000
Er 6.468 5.196 0.000
In 0.000 0.000 1.818
In 3.888 3.888 1.818
Au 1.004 4.892 1.818
Au 2.884 1.004 1.818
Au 4.892 6.772 1.818
Au 6.772 2.884 1.818
```

Output
- D(E_F) (states/eV/atom) = 0.68
- total DFT energy (no corrections) (hartree per atom) = -0.1834
- SG = P4/mbm (127)
- total magnetic moment (μB per cell) = 0.0
- calculated density (g cm⁻³) = 12.7

***

Entry from Alexandria: an optimized crystal structure of LiErAu2 (PBEsol).

Cell and atoms, written as extended XYZ:
```
16
Lattice="6.699 0.000 0.000 0.000 6.699 0.000 0.000 0.000 6.699" Properties=species:S:1:pos:R:3 pbc="T T T"
Li 0.000 0.000 0.000
Li 0.000 3.349 3.349
Li 3.349 0.000 3.349
Li 3.349 3.349 0.000
Er 0.000 0.000 3.349
Er 0.000 3.349 0.000
Er 3.349 0.000 0.000
Er 3.349 3.349 3.349
Au 1.675 1.675 1.675
Au 1.675 1.675 5.024
Au 1.675 5.024 1.675
Au 1.675 5.024 5.024
Au 5.024 1.675 1.675
Au 5.024 1.675 5.024
Au 5.024 5.024 1.675
Au 5.024 5.024 5.024
```

Output
- D(E_F) (states/eV/atom) = 0.67
- total DFT energy (no corrections) (hartree per atom) = -0.1614
- SG = Fm-3m (225)
- total magnetic moment (μB per cell) = 0.0
- calculated density (g cm⁻³) = 12.6

***

Entry from Alexandria: an optimized crystal structure of ErMgAu2 (PBEsol).

Cell and atoms, written as extended XYZ:
```
16
Lattice="6.785 0.000 0.000 0.000 6.785 0.000 0.000 0.000 6.785" Properties=species:S:1:pos:R:3 pbc="T T T"
Er 0.000 0.000 0.000
Er 0.000 3.392 3.392
Er 3.392 0.000 3.392
Er 3.392 3.392 0.000
Mg 0.000 0.000 3.392
Mg 0.000 3.392 0.000
Mg 3.392 0.000 0.000
Mg 3.392 3.392 3.392
Au 1.696 1.696 1.696
Au 1.696 1.696 5.088
Au 1.696 5.088 1.696
Au 1.696 5.088 5.088
Au 5.088 1.696 1.696
Au 5.088 1.696 5.088
Au 5.088 5.088 1.696
Au 5.088 5.088 5.088
```

Output
- D(E_F) (states/eV/atom) = 0.49
- total DFT energy (no corrections) (hartree per atom) = -0.1623
- SG = Fm-3m (225)
- total magnetic moment (μB per cell) = 0.0
- calculated density (g cm⁻³) = 12.5

***

Entry from Alexandria: an optimized crystal structure of Er2PdAu (PBEsol).

Cell and atoms, written as extended XYZ:
```
16
Lattice="6.924 0.000 0.000 0.000 6.924 0.000 0.000 0.000 6.924" Properties=species:S:1:pos:R:3 pbc="T T T"
Er 1.731 1.731 1.731
Er 1.731 1.731 5.193
Er 1.731 5.193 1.731
Er 1.731 5.193 5.193
Er 5.193 1.731 1.731
Er 5.193 1.731 5.193
Er 5.193 5.193 1.731
Er 5.193 5.193 5.193
Pd 0.000 0.000 0.000
Pd 0.000 3.462 3.462
Pd 3.462 0.000 3.462
Pd 3.462 3.462 0.000
Au 0.000 0.000 3.462
Au 0.000 3.462 0.000
Au 3.462 0.000 0.000
Au 3.462 3.462 3.462
```

Output
- D(E_F) (states/eV/atom) = 0.65
- total DFT energy (no corrections) (hartree per atom) = -0.2140
- SG = Fm-3m (225)
- total magnetic moment (μB per cell) = 0.0
- calculated density (g cm⁻³) = 12.8

***

Entry from Alexandria: an optimized crystal structure of Er3Sb4Au3 (PBEsol).

Cell and atoms, written as extended XYZ:
```
20
Lattice="-4.867 4.867 4.867 4.867 -4.867 4.867 4.867 4.867 -4.867" Properties=species:S:1:pos:R:3 pbc="T T T"
Er 4.867 -2.433 3.650
Er 3.650 4.867 -2.433
Er 4.867 2.433 1.217
Er 2.433 1.217 4.867
Er 1.217 4.867 2.433
Er -2.433 3.650 4.867
Sb 3.312 1.555 -1.555
Sb 5.745 -0.879 0.879
Sb 1.555 -1.555 3.312
Sb 1.555 1.555 1.555
Sb -1.555 3.312 1.555
Sb 0.879 5.745 -0.879
Sb -0.879 0.879 5.745
Sb 3.988 3.988 3.988
Au 7.300 1.217 0.000
Au 3.650 0.000 2.433
Au 2.433 3.650 0.000
Au 0.000 2.433 3.650
Au 1.217 0.000 7.300
Au 0.000 7.300 1.217
```

Output
- SG = I-43d (220)
- total magnetic moment (μB per cell) = 0.0
- calculated density (g cm⁻³) = 11.4
- uncorrected formation energy (eV per formula unit) = -8.42

***

Entry from Alexandria: an optimized crystal structure of Er5SbAu2 (PBEsol).

Cell and atoms, written as extended XYZ:
```
16
Lattice="-3.938 3.938 6.357 3.938 -3.938 6.357 3.938 3.938 -6.357" Properties=species:S:1:pos:R:3 pbc="T T T"
Er 0.000 0.000 0.000
Er 5.167 1.228 -1.818
Er 1.228 2.710 -1.818
Er 5.167 1.228 1.818
Er 1.228 2.710 1.818
Er 0.000 0.000 6.357
Er 2.710 1.228 4.539
Er -1.228 2.710 4.539
Er 2.710 1.228 8.175
Er -1.228 2.710 8.175
Sb 0.000 0.000 3.178
Sb 0.000 0.000 9.535
Au 2.863 1.075 0.000
Au 2.863 -1.075 6.357
Au 1.075 5.013 0.000
Au 1.075 2.863 6.357
```

Output
- D(E_F) (states/eV/atom) = 0.80
- SG = I4/mcm (140)
- total magnetic moment (μB per cell) = 0.0
- calculated density (g cm⁻³) = 11.4
- uncorrected formation energy (eV per formula unit) = -6.35